Record 1
The following is a DFT calculation (GGA-PBE) of a relaxed structure of TbSmTh.

* ρ: 9.16 g/cm³
* Fermi-level density of states: 1.637 states/eV/atom
* formation energy: 0.0261 eV per atom
* magnetic moment: 0.0 μB per formula unit
* space group: No. 156

The structure in POSCAR format:
```
TbSmTh
1.0
-2.6929 -2.2523 0.7660
3.0793 -0.1889 1.8422
-3.1442 5.7471 5.8451
Th Tb Sm
1 1 1
Direct
0.3333 0.6667 0.6648
0.6667 0.3333 0.3428
0.0000 0.0000 0.9924
```

Record 2
The following is a DFT calculation (GGA-PBE) of a relaxed structure of BaCa2Pt.

* ρ: 5.62 g/cm³
* Fermi-level density of states: 1.410 states/eV/atom
* formation energy: -0.1307 eV per atom
* magnetic moment: 0.0 μB per formula unit
* space group: No. 216

The structure in POSCAR format:
```
BaCa2Pt
1.0
-0.1092 5.4608 -1.0671
-1.7116 3.5664 3.9143
3.6591 3.3909 2.4666
Ca Pt Ba
2 1 1
Direct
0.0000 0.0000 0.0000
0.2500 0.2500 0.2500
0.7500 0.7500 0.7500
0.5000 0.5000 0.5000
```

Record 3
The following is a DFT calculation (GGA-PBE) of a relaxed structure of Ac2Cd2AgPd5.

* ρ: 10.11 g/cm³
* Fermi-level density of states: 0.489 states/eV/atom
* formation energy: -0.3962 eV per atom
* magnetic moment: 0.0 μB per formula unit
* space group: No. 127

The structure in POSCAR format:
```
Ac2Cd2AgPd5
1.0
-1.9641 -2.9586 -1.7366
1.9196 -6.1285 8.2701
-8.8818 3.2658 4.4816
Ac Ag Pd Cd
4 2 10 4
Direct
0.0000 0.3217 0.8217
0.0000 0.8217 0.6783
0.0000 0.1783 0.3217
0.0000 0.6783 0.1783
0.0000 0.5000 0.5000
0.0000 0.0000 0.0000
0.5000 0.1971 0.0546
0.5000 0.5546 0.6971
0.5000 0.0000 0.5000
0.5000 0.6971 0.4454
0.5000 0.0546 0.8029
0.5000 0.4454 0.3029
0.5000 0.9454 0.1971
0.5000 0.3029 0.5546
0.5000 0.5000 0.0000
0.5000 0.8029 0.9454
0.0000 0.1210 0.6210
0.0000 0.6210 0.8790
0.0000 0.8790 0.3790
0.0000 0.3790 0.1210
```